[1]
Entry from the Alexandria database: a geometry-optimized Sc3HgPd12 structure (GGA-PBE).

a = 4.008 Å, b = 4.008 Å, c = 16.202 Å
α = 90.00°, β = 90.00°, γ = 90.00°
Fractional coordinates of all 16 atoms:
Sc: 0.000 0.000 0.251
Sc: 0.000 0.000 0.500
Sc: 0.000 0.000 0.749
Hg: 0.000 0.000 0.000
Pd: 0.500 0.500 0.000
Pd: 0.500 0.500 0.254
Pd: 0.500 0.500 0.500
Pd: 0.500 0.500 0.746
Pd: 0.500 0.000 0.130
Pd: 0.500 0.000 0.377
Pd: 0.500 0.000 0.623
Pd: 0.500 0.000 0.870
Pd: 0.000 0.500 0.130
Pd: 0.000 0.500 0.377
Pd: 0.000 0.500 0.623
Pd: 0.000 0.500 0.870

Output
**SG**: P4/mmm

[2]
Entry from the Alexandria database: a geometry-optimized Ce2TmPa structure (GGA-PBE).

a = 4.706 Å, b = 4.782 Å, c = 4.782 Å
α = 90.00°, β = 90.00°, γ = 90.00°
Fractional coordinates of all 4 atoms:
Pa: 0.500 0.500 0.500
Tm: 0.500 0.000 0.000
Ce: 0.000 0.000 0.500
Ce: 0.000 0.500 0.000

Output
**SG**: P4/mmm
**Offset from the most stable computed form**: 87 meV/atom

Number 1: total DFT energy (no corrections) -92.23 eV for the cell shown, calculated volume 260.2 Å³ per cell. Number 2: total DFT energy (no corrections) -25.17 eV for the cell shown, calculated volume 107.6 Å³ per cell.